# 1
A plane-wave DFT calculation with GGA-PBE was carried out for TbHoCo4 after structural relaxation.

a = 5.068 Å, b = 5.068 Å, c = 5.068 Å
α = 60.00°, β = 60.00°, γ = 60.00°
Each line ends with the local moment (μB).
Fractional coordinates of all 6 atoms:
Tb  0.250  0.250  0.250  -0.32
Ho  0.000  0.000  0.000  -0.35
Co  0.125  0.625  0.625  1.16
Co  0.625  0.125  0.625  1.16
Co  0.625  0.625  0.125  1.16
Co  0.625  0.625  0.625  1.16

Summary:
Its calculated density is 10.10 g/cm3. As for the symmetry: F-43m (216). The value obtained for the formation energy is -0.200 eV/atom.

---

# 2
A plane-wave DFT calculation with GGA-PBE was carried out for Tb3HoCo2 after structural relaxation.

a = 6.551 Å, b = 6.915 Å, c = 8.140 Å
α = 115.14°, β = 113.73°, γ = 90.00°
Fractional coordinates of all 12 atoms:
Tb  0.500  0.250  0.000
Tb  0.500  0.750  0.000
Tb  0.765  0.015  0.530
Tb  0.235  0.485  0.470
Tb  0.235  0.985  0.470
Tb  0.765  0.515  0.530
Ho  0.000  0.500  0.000
Ho  0.000  0.000  0.000
Co  0.586  0.365  0.729
Co  0.857  0.135  0.271
Co  0.143  0.865  0.729
Co  0.414  0.635  0.271

Summary:
Its calculated density is 8.44 g/cm3. As for the symmetry: Ibam (72). The value obtained for the formation energy is -0.061 eV/atom.

---

# 3
A plane-wave DFT calculation with GGA-PBE was carried out for Tb4HoCo2 after structural relaxation.

a = 6.375 Å, b = 7.724 Å, c = 7.662 Å
α = 113.07°, β = 90.00°, γ = 90.00°
Fractional coordinates of all 14 atoms:
Co  0.250  0.265  0.989
Co  0.750  0.735  0.011
Co  0.750  0.371  0.406
Co  0.250  0.629  0.594
Tb  0.503  0.411  0.759
Tb  0.250  0.249  0.326
Tb  0.750  0.751  0.674
Tb  0.997  0.411  0.759
Tb  0.750  0.020  0.374
Tb  0.003  0.589  0.241
Tb  0.497  0.589  0.241
Tb  0.250  0.980  0.626
Ho  0.250  0.836  0.971
Ho  0.750  0.164  0.029

Summary:
Its calculated density is 8.79 g/cm3. As for the symmetry: P2_1/m (11). The value obtained for the formation energy is -0.040 eV/atom.

---

# 4
A plane-wave DFT calculation with GGA-PBE was carried out for TbHoCo after structural relaxation.

a = 3.362 Å, b = 6.729 Å, c = 6.751 Å
α = 104.43°, β = 104.38°, γ = 90.00°
Each line ends with the local moment (μB).
Fractional coordinates of all 6 atoms:
Tb  0.311  0.488  0.388  -0.08
Tb  0.567  0.616  0.901  -0.08
Ho  0.566  0.115  0.900  -0.09
Ho  0.312  0.989  0.389  -0.09
Co  0.939  0.299  0.645  0.81
Co  0.939  0.805  0.644  0.81

Summary:
Its calculated density is 8.89 g/cm3. As for the symmetry: C2/m (12). The value obtained for the formation energy is -0.113 eV/atom.